# 1
Below is a geometry-optimized BeZnRe2 structure, with properties calculated at the GGA-PBE level.

a = 3.886 Å, b = 2.773 Å, c = 5.090 Å
α = 74.16°, β = 90.00°, γ = 90.00°
Positions (direct):
Re  0.000  0.944  0.986
Re  0.500  0.315  0.246
Zn  0.000  0.680  0.517
Be  0.500  0.561  0.752

Computed properties:
**Formation energy**: 0.15 eV/atom

---

# 2
Below is a geometry-optimized La2CuAs4Au3 structure, with properties calculated at the GGA-PBE level.

a = 4.545 Å, b = 4.545 Å, c = 10.475 Å
α = 90.00°, β = 90.00°, γ = 90.00°
Positions (direct):
La  0.500  0.000  0.255
La  0.000  0.500  0.745
Cu  0.500  0.500  0.500
As  0.500  0.500  0.000
As  0.000  0.000  0.000
As  0.500  0.000  0.625
As  0.000  0.500  0.375
Au  0.000  0.000  0.500
Au  0.500  0.000  0.865
Au  0.000  0.500  0.135

Computed properties:
**Formation energy**: -0.56 eV/atom

---

# 3
Below is a geometry-optimized ZrNbGe structure, with properties calculated at the GGA-PBE level.

a = 4.433 Å, b = 4.433 Å, c = 7.785 Å
α = 73.46°, β = 73.46°, γ = 60.00°
Positions (direct):
Ge  0.247  0.247  0.258
Ge  0.753  0.753  0.742
Zr  0.377  0.377  0.868
Zr  0.623  0.623  0.132
Nb  0.872  0.872  0.383
Nb  0.128  0.128  0.617

Computed properties:
**Formation energy**: -0.17 eV/atom

---

# 4
Below is a geometry-optimized TbTi2Ga4 structure, with properties calculated at the GGA-PBE level.

a = 4.153 Å, b = 3.398 Å, c = 9.364 Å
α = 100.45°, β = 102.81°, γ = 90.00°
Positions (direct):
Tb  0.500  0.000  0.000
Ti  0.802  0.802  0.605
Ti  0.198  0.198  0.395
Ga  0.656  0.656  0.312
Ga  0.344  0.344  0.688
Ga  0.074  0.574  0.147
Ga  0.926  0.426  0.853

Computed properties:
**Polymorph energy (0 for the lowest one)**: 80.8 meV per atom
**Formation energy**: -0.46 eV/atom

---

# 5
Below is a geometry-optimized Be17RePd structure, with properties calculated at the GGA-PBE level.

a = 5.485 Å, b = 5.485 Å, c = 5.485 Å
α = 82.82°, β = 82.82°, γ = 82.82°
Positions (direct):
Be  0.302  0.999  0.697
Be  0.697  0.302  0.999
Be  0.999  0.697  0.302
Be  0.302  0.697  0.999
Be  0.999  0.302  0.697
Be  0.697  0.999  0.302
Be  0.350  0.839  0.350
Be  0.350  0.350  0.839
Be  0.839  0.350  0.350
Be  0.653  0.160  0.653
Be  0.653  0.653  0.160
Be  0.160  0.653  0.653
Be  0.989  0.506  0.989
Be  0.989  0.989  0.506
Be  0.506  0.989  0.989
Be  0.898  0.898  0.898
Be  0.102  0.102  0.102
Re  0.662  0.662  0.662
Pd  0.351  0.351  0.351

Computed properties:
**Formation energy**: -0.15 eV/atom

---

# 6
Below is a geometry-optimized LiTiSbTe2 structure, with properties calculated at the GGA-PBE level.

a = 5.168 Å, b = 5.168 Å, c = 4.718 Å
α = 90.00°, β = 90.00°, γ = 90.00°
Positions (direct):
Sb  0.000  0.000  0.500
Te  0.000  0.500  0.000
Te  0.500  0.000  0.000
Li  0.000  0.000  0.000
Ti  0.500  0.500  0.500

Computed properties:
**Polymorph energy (0 for the lowest one)**: 611.4 meV per atom
**E_form (uncorrected)**: 428 meV per atom